# 1
# PrZnSe2, optimized geometry, DFT PBE
# Total moment ... 0.0 μB per cell
# E_tot ... -44.158 eV/cell
# Formation energy without anion corrections ... -0.424 eV per atom
data_PrZnSe2
_chemical_formula_sum 'Pr3 Zn3 Se6'
_cell_length_a 3.8659
_cell_length_b 3.8659
_cell_length_c 25.8137
_cell_angle_alpha 90.00
_cell_angle_beta 90.00
_cell_angle_gamma 120.00
_space_group_name_H-M_alt 'R -3 m'
_space_group_IT_number 166
_space_group_name_Hall '-R 3 2"'
loop_
_atom_site_label
_atom_site_fract_x
_atom_site_fract_y
_atom_site_fract_z
Pr1 0.0000 0.0000 0.0000
Zn1 0.0000 0.0000 0.5000
Se1 0.0000 0.0000 0.1108

# 2
# LiRuBr, optimized geometry, DFT PBE
# Total moment ... 0.0 μB per cell
# E_tot ... -55.611 eV/cell
# Formation energy without anion corrections ... -0.347 eV per atom
data_LiRuBr
_chemical_formula_sum 'Li4 Ru4 Br4'
_cell_length_a 6.5429
_cell_length_b 3.7481
_cell_length_c 10.4987
_cell_angle_alpha 90.00
_cell_angle_beta 101.82
_cell_angle_gamma 90.00
_space_group_name_H-M_alt 'C 1 m 1'
_space_group_IT_number 8
loop_
_space_group_symop_operation_xyz
'x,y,z'
'x,-y,z'
'x+1/2,y+1/2,z'
'x+1/2,-y+1/2,z'
loop_
_atom_site_label
_atom_site_fract_x
_atom_site_fract_y
_atom_site_fract_z
Li1 0.0000 0.0000 0.0000
Li2 0.1063 0.0000 0.3155
Ru1 0.0380 0.5000 0.6145
Ru2 0.3407 0.5000 0.5275
Br1 0.1213 0.5000 0.8581
Br2 0.3891 0.0000 0.1654

# 3
# Sc2PO6, optimized geometry, DFT PBE
# Total moment ... 1.4 μB per cell
# E_tot ... -142.268 eV/cell
# Formation energy without anion corrections ... -2.590 eV per atom
data_Sc2PO6
_chemical_formula_sum 'Sc4 P2 O12'
_cell_length_a 4.5894
_cell_length_b 4.5894
_cell_length_c 9.0677
_cell_angle_alpha 90.00
_cell_angle_beta 90.00
_cell_angle_gamma 90.00
_space_group_name_H-M_alt 'P 42/m n m'
_space_group_IT_number 136
_space_group_name_Hall '-P 4n 2n'
loop_
_atom_site_label
_atom_site_fract_x
_atom_site_fract_y
_atom_site_fract_z
Sc1 0.0000 0.0000 0.1679
P1 0.0000 0.0000 0.5000
O1 0.1805 0.1805 0.3616
O2 0.2349 0.2349 0.0000

# 4
# Ta2MnMoRu, optimized geometry, DFT PBE
# Total moment ... 0.0 μB per cell
# E_tot ... -45.885 eV/cell
# Energy relative to the elements ... 1.419 eV per atom
data_Ta2MnMoRu
_chemical_formula_sum 'Ta2 Mn1 Mo1 Ru1'
_cell_length_a 4.7780
_cell_length_b 4.7780
_cell_length_c 4.2375
_cell_angle_alpha 90.00
_cell_angle_beta 90.00
_cell_angle_gamma 90.00
_space_group_name_H-M_alt 'P 4/m m m'
_space_group_IT_number 123
_space_group_name_Hall '-P 4 2'
loop_
_atom_site_label
_atom_site_fract_x
_atom_site_fract_y
_atom_site_fract_z
Ta1 0.0000 0.5000 0.0000
Mn1 0.0000 0.0000 0.5000
Mo1 0.5000 0.5000 0.5000
Ru1 0.0000 0.0000 0.0000

# 5
# LiPmZnCo, optimized geometry, DFT PBE
# Total moment ... 0.0 μB per cell
# E_tot ... -60.291 eV/cell
# Energy relative to the elements ... -0.007 eV per atom
data_LiPmZnCo
_chemical_formula_sum 'Li4 Pm4 Zn4 Co4'
_cell_length_a 6.5012
_cell_length_b 6.5012
_cell_length_c 6.5012
_cell_angle_alpha 90.00
_cell_angle_beta 90.00
_cell_angle_gamma 90.00
_space_group_name_H-M_alt 'F -4 3 m'
_space_group_IT_number 216
_space_group_name_Hall 'F -4 2 3'
loop_
_atom_site_label
_atom_site_fract_x
_atom_site_fract_y
_atom_site_fract_z
Li1 0.0000 0.0000 0.0000
Pm1 0.2500 0.2500 0.2500
Zn1 0.2500 0.2500 0.7500
Co1 0.0000 0.0000 0.5000

# 6
# Zn2IrCl, optimized geometry, DFT PBE
# Total moment ... 0.0 μB per cell
# E_tot ... -40.928 eV/cell
# Formation energy without anion corrections ... -0.097 eV per atom
data_Zn2IrCl
_chemical_formula_sum 'Zn6 Ir3 Cl3'
_cell_length_a 3.1207
_cell_length_b 3.1207
_cell_length_c 23.3433
_cell_angle_alpha 90.00
_cell_angle_beta 90.00
_cell_angle_gamma 120.00
_space_group_name_H-M_alt 'R -3 m'
_space_group_IT_number 166
_space_group_name_Hall '-R 3 2"'
loop_
_atom_site_label
_atom_site_fract_x
_atom_site_fract_y
_atom_site_fract_z
Zn1 0.0000 0.0000 0.2462
Ir1 0.0000 0.0000 0.5000
Cl1 0.0000 0.0000 0.0000